Mo4As GGA-PBE optimized geometry; energy relative to the lowest polymorph listed for this composition = 1.286 eV per atom
1.0
-4.417 0.284 -1.033
-1.045 -0.180 4.420
0.235 4.533 0.240
As Mo
1 4
Cartesian
-2.613 2.318 1.814 As
0.000 0.000 0.000 Mo
-2.091 2.408 -0.396 Mo
-0.405 2.176 2.330 Mo
-2.731 0.052 1.694 Mo